(1)
A geometry-optimized Co2HgOs structure, computed with PBE-GGA.

Properties
- Formation energy: 0.600 eV per atom

Lattice parameters (Å, degrees): 2.7142 2.7142 8.8331 90.00 90.00 115.05
Atoms (fractional coordinates):
Co (0.0000, 0.0000, 0.9796)
Co (0.0000, 0.0000, 0.5204)
Hg (0.5000, 0.5000, 0.2500)
Os (0.5000, 0.5000, 0.7500)

***

(2)
A geometry-optimized ZrOs2Br structure, computed with PBE-GGA.

Properties
- ΔE to the lowest computed polymorph: 0.689 eV/atom
- ΔE_f (raw): 3.2 eV/f.u.

Lattice parameters (Å, degrees): 5.2133 5.2133 5.2133 135.45 135.45 64.83
Atoms (fractional coordinates):
Os (0.0000, 0.0000, 0.0000)
Os (0.2500, 0.7500, 0.5000)
Br (0.7500, 0.2500, 0.5000)
Zr (0.5000, 0.5000, 0.0000)